No. 1
Below is a relaxed structure of ZnRe, with properties calculated at the PBE level.

Lattice parameters (Å, degrees): 15.6963 4.4480 2.6832 90.00 90.00 90.00
Last column: nearest neighbours and their distance in Å.
Positions (direct):
Zn 0.6428 0.0000 0.5000  8 Re 2.61-2.78, 2 Zn 2.68
Zn 0.3572 0.0000 0.5000  8 Re 2.61-2.78, 2 Zn 2.68
Zn 0.1428 0.5000 0.5000  8 Re 2.61-2.78, 2 Zn 2.68
Zn 0.8572 0.5000 0.5000  8 Re 2.61-2.78, 2 Zn 2.68
Zn 0.0000 0.0000 0.5000  4 Re 2.60, 2 Zn 2.68
Zn 0.5000 0.5000 0.5000  4 Re 2.60, 2 Zn 2.68
Re 0.7933 0.0000 0.0000  4 Re 2.61-2.68, 6 Zn 2.72-2.78
Re 0.2067 0.0000 0.0000  4 Re 2.61-2.68, 6 Zn 2.72-2.78
Re 0.2933 0.5000 0.0000  4 Re 2.61-2.68, 6 Zn 2.72-2.78
Re 0.7067 0.5000 0.0000  4 Re 2.61-2.68, 6 Zn 2.72-2.78
Re 0.5000 0.0000 0.0000  8 Zn 2.60-2.61, 2 Re 2.68
Re 0.0000 0.5000 0.0000  8 Zn 2.60-2.61, 2 Re 2.68

No. 2
Below is a relaxed structure of ZnRe, with properties calculated at the PBE level.

Lattice parameters (Å, degrees): 2.7999 8.7732 2.7999 90.00 120.00 90.00
Last column: nearest neighbours and their distance in Å.
Positions (direct):
Re 0.0000 0.0067 0.0000  9 Re 2.63-2.80, 3 Zn 2.77
Re 0.6667 0.2433 0.3333  9 Re 2.63-2.80, 3 Zn 2.77
Zn 0.0000 0.5002 0.0000  9 Zn 2.72-2.80, 3 Re 2.77
Zn 0.6667 0.7498 0.3333  9 Zn 2.72-2.80, 3 Re 2.77

Which ΔE to the lowest computed polymorph belongs to each record? In order, 0.5318; 0.0000 eV per atom.